CsTiF3 | Alexandria via LeMat-Bulk | PBE-GGA | optimized geometry; SG = Pm-3m; electronic total energy = -28.1 eV/cell; ΔE_f (raw) = -2.757 eV/atom
1.0
4.356 0.000 0.000
0.000 4.356 0.000
0.000 0.000 4.356
Cs Ti F
1 1 3
Direct
0.000 0.000 0.000
0.500 0.500 0.500
0.000 0.500 0.500
0.500 0.000 0.500
0.500 0.500 0.000

***

NaIn2P | Alexandria via LeMat-Bulk | PBE-GGA | optimized geometry; SG = R-3m; formation energy = -0.47 kcal/mol of atoms; electronic total energy = -12.3 eV/cell
1.0
1.977 1.141 9.225
-1.977 1.141 9.225
0.000 -2.283 9.225
Na In P
1 2 1
Direct
0.000 0.000 0.000
0.111 0.111 0.111
0.889 0.889 0.889
0.500 0.500 0.500

***

LaAlAg2F8 | Alexandria via LeMat-Bulk | PBE-GGA | optimized geometry; SG = P2/m; electronic total energy = -63.3 eV/cell; ΔE_f (raw) = -2.828 eV/atom
1.0
4.750 0.000 0.000
0.000 6.916 0.000
-0.257 0.000 5.714
La Al Ag F
1 1 2 8
Direct
0.000 0.000 0.000
0.000 0.500 0.000
0.500 0.285 0.500
0.500 0.715 0.500
0.140 0.298 0.819
0.140 0.702 0.819
0.307 0.500 0.191
0.399 0.000 0.244
0.601 0.000 0.756
0.693 0.500 0.809
0.860 0.298 0.181
0.860 0.702 0.181